Density functional theory data (GGA-PBE) for a geometry-optimized AcPr3Nd structure.

Results
- V: 40.78 Å³/atom
- E: -4.387 eV per atom
- ΔE_f: 256 meV/atom

Geometry as CIF:
```
data_AcPr3Nd
_chemical_formula_sum 'Ac2 Pr6 Nd2'
_cell_length_a 3.7679
_cell_length_b 11.8970
_cell_length_c 9.2484
_cell_angle_alpha 90.00
_cell_angle_beta 100.34
_cell_angle_gamma 90.00
_space_group_name_H-M_alt 'P 1 21/m 1'
_space_group_IT_number 11
_space_group_name_Hall '-P 2yb'
loop_
_atom_site_label
_atom_site_fract_x
_atom_site_fract_y
_atom_site_fract_z
Ac1 0.0767 0.2500 0.4629
Pr1 0.1734 0.5008 0.8183
Pr2 0.3120 0.7500 0.2005
Nd1 0.3406 0.2500 0.1136
```